# LiMg4Hg2

A geometry-optimized LiMg4Hg2 structure (PBE, the Alexandria database).

Summary:
ΔE_f (eV/atom): -0.22
Polymorph energy (0 for the lowest one) (eV per atom): 0.0000
Uncorrected energy (eV/cell): -10.46
V (Å³/cell): 151.6

a b c (Å): 8.190 8.190 8.190
angles (deg): 33.81 33.81 33.81
Positions (direct):
Li 0.000 0.000 0.000
Mg 0.129 0.129 0.129
Mg 0.382 0.382 0.382
Mg 0.618 0.618 0.618
Mg 0.871 0.871 0.871
Hg 0.254 0.254 0.254
Hg 0.746 0.746 0.746

# LiMg2Hg8

A geometry-optimized LiMg2Hg8 structure (PBE, the Alexandria database).

Summary:
ΔE_f (eV/atom): -0.06
Polymorph energy (0 for the lowest one) (eV per atom): 0.0483
Uncorrected energy (eV/cell): -8.19
V (Å³/cell): 287.0

a b c (Å): 7.326 7.326 5.470
angles (deg): 98.41 98.41 86.16
Positions (direct):
Li 0.000 0.000 0.000
Mg 0.151 0.151 0.548
Mg 0.849 0.849 0.452
Hg 0.164 0.691 0.219
Hg 0.264 0.264 0.117
Hg 0.309 0.836 0.781
Hg 0.419 0.419 0.704
Hg 0.581 0.581 0.296
Hg 0.691 0.164 0.219
Hg 0.736 0.736 0.883
Hg 0.836 0.309 0.781

> Look up the V of the second one.

287.0 Å³/cell